A geometry-optimized LiTi2P2O9 structure. Source: Alexandria, functional GGA-PBEsol.

The space group is Pnma (No. 62) and the conventional cell measures 13.981, 6.313 and 7.547 Å, with angles of 90.00, 90.00 and 90.00 degrees. Symmetry generates all atoms from Li at (0.228, 0.250, 0.046), Ti at (0.000, 0.000, 0.000), Ti at (0.122, 0.250, 0.646), P at (0.068, 0.750, 0.640), P at (0.190, 0.750, 0.120), O at (0.012, 0.250, 0.495), O at (0.023, 0.750, 0.830), O at (0.056, 0.250, 0.862), O at (0.128, 0.547, 0.106), O at (0.134, 0.558, 0.623), O at (0.233, 0.250, 0.474) and O at (0.249, 0.250, 0.791).

As for the crystal system: orthorhombic. The value obtained for the density of states at the Fermi level is 4.4 states/eV/f.u. For the density, the calculation gives 3.078 g cm⁻³. Its total magnetization is 4.1 μB per cell. As for the total energy: -8.099 eV per atom. For the raw formation energy, the calculation gives -35.9 eV/f.u.